#A
A relaxed LaTb6Pr2 crystal, computed with PBE.

a b c (Å): 6.6977 9.6825 9.6825
angles (deg): 95.49 81.53 81.53
With the nearest neighbours (Å) after each atom.
Fractional positions:
La  0.2500  0.1205  0.8795  6 Tb 3.28-3.56
La  0.7500  0.8795  0.1205  6 Tb 3.28-3.56
Tb  0.4996  0.6563  0.2788  5 Tb 3.26-3.63, 1 La 3.28, 3 Pr 3.47-3.60
Tb  0.0004  0.7212  0.3437  5 Tb 3.26-3.63, 1 La 3.28, 3 Pr 3.47-3.60
Tb  0.5004  0.3437  0.7212  5 Tb 3.26-3.63, 1 La 3.28, 3 Pr 3.47-3.60
Tb  0.9996  0.2788  0.6563  5 Tb 3.26-3.63, 1 La 3.28, 3 Pr 3.47-3.60
Tb  0.7346  0.0562  0.4625  7 Tb 3.41-3.76, 2 Pr 3.53-3.74, 1 La 3.56
Tb  0.7654  0.5375  0.9438  7 Tb 3.41-3.76, 2 Pr 3.53-3.74, 1 La 3.56
Tb  0.2654  0.9438  0.5375  7 Tb 3.41-3.76, 2 Pr 3.53-3.74, 1 La 3.56
Tb  0.2346  0.4625  0.0562  7 Tb 3.41-3.76, 2 Pr 3.53-3.74, 1 La 3.56
Tb  0.3200  0.7792  0.9536  4 Tb 3.40-3.77, 2 La 3.43-3.71, 2 Pr 3.55-3.59
Tb  0.1800  0.0464  0.2208  4 Tb 3.40-3.77, 2 La 3.43-3.71, 2 Pr 3.55-3.59
Tb  0.6800  0.2208  0.0464  4 Tb 3.40-3.77, 2 La 3.43-3.71, 2 Pr 3.55-3.59
Tb  0.8200  0.9536  0.7792  4 Tb 3.40-3.77, 2 La 3.43-3.71, 2 Pr 3.55-3.59
Pr  0.1274  0.6141  0.6698  3 Pr 3.44-3.70, 7 Tb 3.47-3.74
Pr  0.3726  0.3302  0.3859  3 Pr 3.44-3.70, 7 Tb 3.47-3.74
Pr  0.8726  0.3859  0.3302  3 Pr 3.44-3.70, 7 Tb 3.47-3.74
Pr  0.6274  0.6698  0.6141  3 Pr 3.44-3.70, 7 Tb 3.47-3.74

---

#B
A relaxed LaTb6Pr2 crystal, computed with PBE.

a b c (Å): 3.5207 9.9227 9.9227
angles (deg): 63.56 79.82 79.82
With the nearest neighbours (Å) after each atom.
Fractional positions:
La  0.0000  0.0000  0.0000  8 Tb 3.41-3.74, 2 La 3.52
Tb  0.8213  0.3450  0.0102  1 La 3.41, 7 Tb 3.43-3.76, 3 Pr 3.49-3.68
Tb  0.1787  0.9898  0.6550  1 La 3.41, 7 Tb 3.43-3.76, 3 Pr 3.49-3.68
Tb  0.1787  0.6550  0.9898  1 La 3.41, 7 Tb 3.43-3.76, 3 Pr 3.49-3.68
Tb  0.5000  0.3162  0.6838  7 Tb 3.52-3.84, 4 Pr 3.68-3.69, 2 La 3.74
Tb  0.8213  0.0102  0.3450  1 La 3.41, 7 Tb 3.43-3.76, 3 Pr 3.49-3.68
Tb  0.5000  0.6838  0.3162  7 Tb 3.52-3.84, 4 Pr 3.68-3.69, 2 La 3.74
Pr  0.8435  0.6578  0.6578  10 Tb 3.49-3.69, 2 Pr 3.52
Pr  0.1565  0.3422  0.3422  10 Tb 3.49-3.69, 2 Pr 3.52

---

Calculated relative energies: #A 0.7; #B 0.0, given in kJ/mol of atoms

---

#A
A relaxed LaTb2Pr4 crystal, computed with PBE.

a b c (Å): 12.7546 12.7546 6.9378
angles (deg): 96.99 96.99 150.16
With the nearest neighbours (Å) after each atom.
Fractional positions:
Pr  0.7234  0.1871  0.8798  6 Pr 3.51-3.84, 2 La 3.61-3.79, 3 Tb 3.63-3.91
Pr  0.1871  0.7234  0.3798  6 Pr 3.51-3.84, 2 La 3.61-3.79, 3 Tb 3.63-3.91
Pr  0.1838  0.7899  0.9043  5 Pr 3.51-3.84, 4 Tb 3.52-3.71, 2 La 3.70-3.86
Pr  0.7899  0.1838  0.4043  5 Pr 3.51-3.84, 4 Tb 3.52-3.71, 2 La 3.70-3.86
Pr  0.0302  0.1361  0.5963  5 Pr 3.51-3.84, 4 Tb 3.52-3.71, 2 La 3.70-3.86
Pr  0.5577  0.5942  0.1212  6 Pr 3.51-3.84, 2 La 3.62-3.78, 3 Tb 3.63-3.91
Pr  0.5942  0.5577  0.6212  6 Pr 3.51-3.84, 2 La 3.62-3.78, 3 Tb 3.63-3.91
Pr  0.1361  0.0302  0.0963  5 Pr 3.51-3.84, 4 Tb 3.52-3.71, 2 La 3.70-3.86
Tb  0.6238  0.3057  0.4482  2 La 3.51-3.70, 7 Pr 3.52-3.91, 2 Tb 3.74
Tb  0.9252  0.1075  0.0518  2 La 3.51-3.70, 7 Pr 3.52-3.91, 2 Tb 3.74
Tb  0.1075  0.9252  0.5518  2 La 3.51-3.70, 7 Pr 3.52-3.91, 2 Tb 3.74
Tb  0.3057  0.6238  0.9482  2 La 3.51-3.70, 7 Pr 3.52-3.91, 2 Tb 3.74
La  0.4233  0.6734  0.4998  4 Tb 3.51-3.70, 8 Pr 3.61-3.86
La  0.6734  0.4233  0.9998  4 Tb 3.51-3.70, 8 Pr 3.61-3.86

---

#B
A relaxed LaTb2Pr4 crystal, computed with PBE.

a b c (Å): 5.7897 5.7897 9.4113
angles (deg): 107.91 107.91 90.00
With the nearest neighbours (Å) after each atom.
Fractional positions:
La  0.0000  0.0000  0.0000  6 Pr 2.89-3.13
Tb  0.3904  0.3904  0.7808  5 Pr 3.44-3.48, 1 Tb 3.71
Tb  0.6096  0.6096  0.2192  5 Pr 3.44-3.48, 1 Tb 3.71
Pr  0.8152  0.8152  0.6303  1 La 3.13, 1 Tb 3.48
Pr  0.1848  0.1848  0.3697  1 La 3.13, 1 Tb 3.48
Pr  0.0000  0.5000  0.0000  2 La 2.89
Pr  0.5000  0.0000  0.0000  2 La 2.89

---

Calculated relative energies: #A 0.0; #B 53.6, given in kJ/mol of atoms

---

#A
A relaxed La4TbPr crystal, computed with PBE.

a b c (Å): 3.6906 5.2554 12.2662
angles (deg): 115.37 90.00 90.00
With the nearest neighbours (Å) after each atom.
Fractional positions:
La  0.5000  0.3277  0.8276  1 Tb 3.63, 7 La 3.67-3.82, 4 Pr 3.74
La  0.5000  0.6723  0.1724  1 Tb 3.63, 7 La 3.67-3.82, 4 Pr 3.74
La  0.0000  0.3334  0.3334  7 La 3.67-3.69, 1 Pr 3.70, 4 Tb 3.70
La  0.0000  0.6666  0.6666  7 La 3.67-3.69, 1 Pr 3.70, 4 Tb 3.70
Tb  0.5000  0.0000  0.5000  10 La 3.63-3.70, 2 Tb 3.69
Pr  0.0000  0.0000  0.0000  2 Pr 3.69, 10 La 3.70-3.74

---

#B
A relaxed La4TbPr crystal, computed with PBE.

a b c (Å): 6.4480 6.4480 6.1724
angles (deg): 89.99 89.99 57.26
With the nearest neighbours (Å) after each atom.
Fractional positions:
La  0.3398  0.3398  0.9995  2 Pr 3.58, 3 Tb 3.58-3.85, 5 La 3.63-3.71
La  0.6602  0.6602  0.0005  2 Pr 3.58, 3 Tb 3.58-3.85, 5 La 3.63-3.71
La  0.8414  0.8414  0.5005  2 Tb 3.57, 3 Pr 3.57-3.86, 5 La 3.59-3.72
La  0.1586  0.1586  0.4995  2 Tb 3.57, 3 Pr 3.57-3.86, 5 La 3.59-3.72
Tb  0.0000  0.0000  0.0000  10 La 3.57-3.85
Pr  0.5000  0.5000  0.5000  10 La 3.57-3.86

---

Calculated relative energies: #A 0.0; #B 7.7, given in kJ/mol of atoms